[1]
VASP calculation (GGA-PBE) on a geometry-optimized ScIn2Br structure.

Results
- distance to the lowest polymorph of the same formula (eV/atom) = 0.2080
- space-group type = Pm (6)

Cell and atoms, written as POSCAR:
```
ScIn2Br
1.0
5.325 0.000 0.000
0.000 3.463 -0.173
0.000 0.277 5.453
Br In Sc
1 2 1
Cartesian
2.663 2.366 3.817
0.000 0.425 -0.004
2.663 0.515 1.421
0.000 2.305 2.687
```

---

[2]
VASP calculation (GGA-PBE) on a geometry-optimized ScInBr structure.

Results
- distance to the lowest polymorph of the same formula (eV/atom) = 0.7671
- space-group type = F-43m (216)

Cell and atoms, written as POSCAR:
```
ScInBr
1.0
-1.403 -2.118 -4.171
-0.168 -4.869 -0.330
-4.310 -2.283 -0.250
Br In Sc
1 1 1
Cartesian
-4.411 -6.953 -3.563
0.000 0.000 0.000
-2.940 -4.635 -2.375
```

---

[3]
VASP calculation (GGA-PBE) on a geometry-optimized ScIn2Br structure.

Results
- distance to the lowest polymorph of the same formula (eV/atom) = 0.0400
- space-group type = P4mm (99)

Cell and atoms, written as POSCAR:
```
ScIn2Br
1.0
-1.711 2.824 -0.315
-1.555 -0.622 2.863
7.110 4.855 4.915
Br In Sc
1 2 1
Cartesian
3.122 4.347 4.561
0.272 0.186 0.188
0.416 2.500 2.690
3.591 2.452 2.482
```

---

[4]
VASP calculation (GGA-PBE) on a geometry-optimized ScInSn2Br8 structure.

Results
- space-group type = P-1 (2)

Cell and atoms, written as POSCAR:
```
ScInSn2Br8
1.0
7.177 0.109 0.229
0.153 6.690 0.026
0.303 0.047 9.050
Sc In Sn Br
1 1 2 8
Cartesian
0.000 0.000 0.000
0.151 0.024 4.525
3.754 3.365 6.951
3.879 3.481 2.354
1.318 5.215 1.895
5.091 5.267 0.377
6.270 1.744 2.168
6.315 1.631 7.410
2.542 1.580 8.928
1.363 5.102 7.137
4.837 4.956 4.473
2.796 1.890 4.832
```

---

[5]
VASP calculation (GGA-PBE) on a geometry-optimized SrScInBr6 structure.

Results
- space-group type = P-31c (163)

Cell and atoms, written as POSCAR:
```
SrScInBr6
1.0
7.528 0.000 0.000
-3.764 6.520 0.000
0.000 0.000 13.856
Sr Sc In Br
2 2 2 12
Cartesian
0.000 4.347 3.464
3.764 2.173 10.392
3.764 2.173 3.464
0.000 4.347 10.392
0.000 0.000 0.000
0.000 0.000 6.928
2.608 4.014 1.893
5.936 2.254 1.893
-1.016 6.268 8.821
-2.172 4.266 11.962
1.592 2.254 5.034
4.920 4.014 5.034
1.016 6.268 11.962
4.780 0.252 5.034
-1.156 2.506 8.821
2.748 0.252 1.893
2.172 4.266 8.821
1.156 2.506 11.962
```

---

[6]
VASP calculation (GGA-PBE) on a geometry-optimized Sc2InTcBr structure.

Results
- space-group type = P4/mmm (123)

Cell and atoms, written as POSCAR:
```
Sc2InTcBr
1.0
-4.909 0.302 0.291
-0.361 -4.360 -1.566
0.171 -1.677 4.629
Sc Tc Br In
2 1 1 1
Cartesian
0.086 -0.839 2.315
-2.454 0.151 0.146
-0.181 -2.180 -0.783
0.000 0.000 0.000
-2.549 -2.868 1.677
```

---

[7]
VASP calculation (GGA-PBE) on a geometry-optimized ScInTeBr2 structure.

Results
- space-group type = P4/mmm (123)

Cell and atoms, written as POSCAR:
```
ScInTeBr2
1.0
-0.316 -3.687 -3.831
-2.206 -3.401 3.455
-5.210 1.929 -1.427
Sc Te Br In
1 1 2 1
Cartesian
0.000 0.000 0.000
-2.605 0.965 -0.714
-1.103 -1.700 1.728
-0.158 -1.844 -1.915
-3.866 -2.579 -0.901
```

---

[8]
VASP calculation (GGA-PBE) on a geometry-optimized ScTl2In2Br6 structure.

Results
- space-group type = C2/m (12)

Cell and atoms, written as POSCAR:
```
ScTl2In2Br6
1.0
-1.070 4.325 7.438
-4.367 -6.881 -2.958
6.756 -2.748 0.819
Sc Tl In Br
1 2 2 6
Cartesian
3.378 -1.374 0.410
0.074 -4.640 0.805
1.244 -0.663 4.494
-1.617 2.467 5.714
-3.820 -5.023 -1.234
0.534 -3.988 4.129
3.331 -4.032 0.434
0.785 -1.316 1.169
4.131 -1.310 2.959
-2.012 -1.272 4.865
-2.813 -3.993 2.340
```

---

[9]
VASP calculation (GGA-PBE) on a geometry-optimized ScTl3In3Br8 structure.

Results
- space-group type = C2/m (12)

Cell and atoms, written as POSCAR:
```
ScTl3In3Br8
1.0
9.443 0.000 0.000
-4.722 8.163 -0.024
0.000 -5.411 7.686
Sc Tl In Br
1 3 3 8
Cartesian
0.000 -2.706 3.843
0.000 0.000 0.000
-2.361 4.081 -0.012
2.361 4.081 -0.012
4.721 -2.706 3.843
2.361 1.376 3.831
-2.361 1.376 3.831
0.000 2.730 1.943
4.721 0.021 5.720
4.721 3.194 2.260
0.000 -0.443 5.403
7.486 -1.583 2.273
-2.765 4.334 5.390
1.957 -1.583 2.273
2.765 4.334 5.390
```

---

[10]
VASP calculation (GGA-PBE) on a geometry-optimized ScInW2Br structure.

Results
- space-group type = P4/mmm (123)

Cell and atoms, written as POSCAR:
```
ScInW2Br
1.0
5.039 0.000 0.000
0.000 5.347 0.000
0.000 0.000 5.039
Sc Br W In
1 1 2 1
Cartesian
0.000 2.674 0.000
2.520 2.674 2.520
0.000 0.000 2.520
2.520 0.000 0.000
0.000 0.000 0.000
```

---

[11]
VASP calculation (GGA-PBE) on a geometry-optimized In4SeBr3 structure.

Results
- space-group type = Pmmn (59)

Cell and atoms, written as POSCAR:
```
In4SeBr3
1.0
6.056 0.000 0.000
0.000 6.792 0.000
0.000 0.000 13.120
In Se Br
8 2 6
Cartesian
0.386 5.264 0.000
3.416 1.263 0.000
0.392 2.075 3.014
3.420 4.717 3.546
0.388 5.529 6.560
3.414 1.528 6.560
3.420 4.717 9.574
0.392 2.075 10.106
0.390 1.450 0.000
3.418 5.342 6.560
3.414 5.083 0.000
0.393 5.681 3.455
3.421 1.111 3.105
0.386 1.709 6.560
3.421 1.111 10.015
0.393 5.681 9.665
```

---

[12]
VASP calculation (GGA-PBE) on a geometry-optimized InSe2Br structure.

Results
- distance to the lowest polymorph of the same formula (eV/atom) = 0.4876
- space-group type = Cmmm (65)

Cell and atoms, written as POSCAR:
```
InSe2Br
1.0
-5.643 1.249 -4.548
6.736 -2.849 -0.771
-1.022 -2.567 0.562
Br In Se
1 1 2
Cartesian
-3.332 -0.659 -1.993
2.857 -2.708 -0.104
0.000 0.000 0.000
0.546 -0.800 -2.660
```

---

[13]
VASP calculation (GGA-PBE) on a geometry-optimized In2Se2Br structure.

Results
- distance to the lowest polymorph of the same formula (eV/atom) = 0.2099
- space-group type = I4/mmm (139)

Cell and atoms, written as POSCAR:
```
In2Se2Br
1.0
-3.043 0.667 -3.670
1.489 -4.125 -1.984
-4.869 -4.589 0.046
Se Br In
2 1 2
Cartesian
-4.344 -2.825 -3.226
-2.078 -5.222 -2.383
0.000 0.000 0.000
-1.768 -2.422 -2.132
-4.655 -5.625 -3.477
```

---

[14]
VASP calculation (GGA-PBE) on a geometry-optimized InSeBr3 structure.

Results
- distance to the lowest polymorph of the same formula (eV/atom) = 0.0784
- space-group type = P1 (1)

Cell and atoms, written as POSCAR:
```
InSeBr3
1.0
-3.832 1.742 0.072
-2.290 0.284 -5.890
-2.994 -6.514 -0.523
In Se Br
1 1 3
Cartesian
-5.754 -3.992 -4.041
-3.165 -3.411 -3.425
-3.732 -4.770 -0.637
-3.670 0.445 -2.413
-6.515 -0.544 -5.404
```

---

[15]
VASP calculation (GGA-PBE) on a geometry-optimized InSeBr2 structure.

Results
- distance to the lowest polymorph of the same formula (eV/atom) = 0.2405
- space-group type = R-3m (166)

Cell and atoms, written as POSCAR:
```
InSeBr2
1.0
2.457 0.000 9.345
-1.228 2.128 9.345
-1.228 -2.128 9.345
Se Br In
1 2 1
Cartesian
0.000 0.000 0.000
0.000 0.000 25.462
0.000 0.000 2.573
0.000 0.000 14.018
```

---

[16]
VASP calculation (GGA-PBE) on a geometry-optimized InSeBr2 structure.

Results
- distance to the lowest polymorph of the same formula (eV/atom) = 0.0565
- space-group type = P4mm (99)

Cell and atoms, written as POSCAR:
```
InSeBr2
1.0
-2.751 2.539 -1.912
-1.970 -3.345 -1.607
-4.773 -0.299 6.472
Br In Se
2 1 1
Cartesian
-4.604 -0.288 6.242
-3.789 -0.493 0.178
-3.080 -0.193 4.176
-5.181 -0.580 2.064
```

---

[17]
VASP calculation (GGA-PBE) on a geometry-optimized InSe2Br structure.

Results
- distance to the lowest polymorph of the same formula (eV/atom) = 0.2544
- space-group type = C2/m (12)

Cell and atoms, written as POSCAR:
```
InSe2Br
1.0
7.555 0.028 -0.087
6.413 3.995 -0.087
0.503 0.145 4.717
Br In Se
1 1 2
Cartesian
10.854 3.126 3.407
3.618 1.042 1.136
13.761 3.963 0.491
7.443 2.144 1.606
```

---

[18]
VASP calculation (GGA-PBE) on a geometry-optimized InSe3Br structure.

Results
- distance to the lowest polymorph of the same formula (eV/atom) = 0.0258
- space-group type = P1 (1)

Cell and atoms, written as POSCAR:
```
InSe3Br
1.0
7.107 0.000 0.000
-2.418 6.840 0.000
-2.816 -1.027 7.345
In Se Br
2 6 2
Cartesian
-0.436 2.146 4.483
3.612 0.537 3.029
2.305 1.123 5.281
0.223 0.689 1.443
-0.287 6.213 1.199
1.077 4.182 3.861
2.620 3.446 5.545
-0.891 -0.279 3.435
4.729 2.927 2.465
-1.385 2.268 6.864
```

---

[19]
VASP calculation (GGA-PBE) on a geometry-optimized InSeBr4 structure.

Results
- space-group type = F-43m (216)

Cell and atoms, written as POSCAR:
```
InSeBr4
1.0
-2.971 -4.974 -2.740
-5.801 -1.793 2.051
-5.148 0.978 -3.691
In Se Br
1 1 4
Cartesian
-10.440 -4.342 -3.285
0.000 0.000 0.000
-6.705 -4.662 -3.014
-7.796 -1.679 -3.491
-8.123 -3.068 -0.613
-5.216 -2.169 -1.641
```

---

[20]
VASP calculation (GGA-PBE) on a geometry-optimized InSeBr3 structure.

Results
- distance to the lowest polymorph of the same formula (eV/atom) = 0.3286
- space-group type = Pm-3m (221)

Cell and atoms, written as POSCAR:
```
InSeBr3
1.0
5.477 0.000 0.000
0.000 5.477 0.000
0.000 0.000 5.477
Se Br In
1 3 1
Cartesian
0.000 0.000 0.000
0.000 2.738 0.000
0.000 0.000 2.738
2.738 0.000 0.000
2.738 2.738 2.738
```

---

Number 1: formation energy without anion corrections -0.362 eV/atom, M_tot 0.00 μB/f.u., calculated total energy -3.7321 eV per atom. Number 2: formation energy without anion corrections 0.060 eV/atom, M_tot 0.00 μB/f.u., calculated total energy -3.5205 eV per atom. Number 3: formation energy without anion corrections -0.530 eV/atom, M_tot 0.49 μB/f.u., calculated total energy -3.9001 eV per atom. Number 4: formation energy without anion corrections -1.027 eV/atom, M_tot 0.00 μB/f.u., calculated total energy -3.5648 eV per atom. Number 5: formation energy without anion corrections -1.612 eV/atom, M_tot 0.00 μB/f.u., calculated total energy -3.9215 eV per atom. Number 6: formation energy without anion corrections 0.290 eV/atom, M_tot 0.00 μB/f.u., calculated total energy -5.1985 eV per atom. Number 7: formation energy without anion corrections -1.011 eV/atom, M_tot 0.00 μB/f.u., calculated total energy -4.1223 eV per atom. Number 8: formation energy without anion corrections -0.956 eV/atom, M_tot 0.00 μB/f.u., calculated total energy -3.3719 eV per atom. Number 9: formation energy without anion corrections -0.893 eV/atom, M_tot 0.56 μB/f.u., calculated total energy -3.2280 eV per atom. Number 10: formation energy without anion corrections 2.199 eV/atom, M_tot 2.45 μB/f.u., calculated total energy -5.1311 eV per atom. Number 11: formation energy without anion corrections -0.507 eV/atom, M_tot 0.00 μB/f.u., calculated total energy -2.9395 eV per atom. Number 12: formation energy without anion corrections 0.068 eV/atom, M_tot 0.17 μB/f.u., calculated total energy -2.7774 eV per atom. Number 13: formation energy without anion corrections -0.298 eV/atom, M_tot 0.00 μB/f.u., calculated total energy -3.1217 eV per atom. Number 14: formation energy without anion corrections -0.488 eV/atom, M_tot 0.00 μB/f.u., calculated total energy -2.7361 eV per atom. Number 15: formation energy without anion corrections -0.087 eV/atom, M_tot 1.00 μB/f.u., calculated total energy -2.4794 eV per atom. Number 16: formation energy without anion corrections -0.271 eV/atom, M_tot 0.00 μB/f.u., calculated total energy -2.6634 eV per atom. Number 17: formation energy without anion corrections -0.165 eV/atom, M_tot 0.00 μB/f.u., calculated total energy -3.0105 eV per atom. Number 18: formation energy without anion corrections -0.297 eV/atom, M_tot 0.00 μB/f.u., calculated total energy -3.2700 eV per atom. Number 19: formation energy without anion corrections 0.489 eV/atom, M_tot 1.28 μB/f.u., calculated total energy -1.6633 eV per atom. Number 20: formation energy without anion corrections -0.238 eV/atom, M_tot 0.00 μB/f.u., calculated total energy -2.4859 eV per atom.